VASP calculation (PBE) on TbErTlAg after structural relaxation.

Values from the calculation:
E = -3.938 eV/atom
formation energy = -0.335 eV per atom
space group = No. 99

Lattice parameters (Å, degrees): 3.6471 3.6471 7.6795 90.00 90.00 90.00
Fractional positions:
Tb (0.0000, 0.0000, 0.0000)
Er (0.0000, 0.0000, 0.5307)
Tl (0.5000, 0.5000, 0.2680)
Ag (0.5000, 0.5000, 0.7547)